[1]
# Pu2PaO8 (PBE, relaxed)
data_Pu2PaO8
_chemical_formula_sum 'Pu2 Pa1 O8'
_space_group_name_H-M_alt 'P 1'
_space_group_IT_number 1
_space_group_name_Hall 'P 1'
_cell_length_a 4.143
_cell_length_b 5.744
_cell_length_c 8.172
_cell_angle_alpha 97.25
_cell_angle_beta 93.82
_cell_angle_gamma 108.16
loop_
_atom_site_label
_atom_site_fract_x
_atom_site_fract_y
_atom_site_fract_z
Pu1 0.000 0.000 0.000
Pu2 0.396 0.688 0.320
Pa1 0.590 0.296 0.695
O1 0.085 0.252 0.759
O2 0.163 0.302 0.144
O3 0.370 0.512 0.505
O4 0.451 0.869 0.134
O5 0.521 0.029 0.494
O6 0.529 0.093 0.893
O7 0.838 0.693 0.854
O8 0.896 0.699 0.294
# Distance to the lowest polymorph of the same formula (meV per atom): 0
# Formation energy without anion corrections (eV/atom): -2.874

[2]
# CeNdSbN (PBE, relaxed)
data_CeNdSbN
_chemical_formula_sum 'Ce2 Nd2 Sb2 N2'
_space_group_name_H-M_alt 'P 4/n m m'
_space_group_IT_number 129
_cell_length_a 4.626
_cell_length_b 4.626
_cell_length_c 9.221
_cell_angle_alpha 90.00
_cell_angle_beta 90.00
_cell_angle_gamma 90.00
loop_
_space_group_symop_operation_xyz
'x,y,z'
'-x,-y,-z'
'-y+1/2,x,z'
'y+1/2,-x,-z'
'-x+1/2,-y+1/2,z'
'x+1/2,y+1/2,-z'
'y,-x+1/2,z'
'-y,x+1/2,-z'
'x+1/2,-y,-z'
'-x+1/2,y,z'
'-y,-x,-z'
'y,x,z'
'-x,y+1/2,-z'
'x,-y+1/2,z'
'y+1/2,x+1/2,-z'
'-y+1/2,-x+1/2,z'
loop_
_atom_site_label
_atom_site_fract_x
_atom_site_fract_y
_atom_site_fract_z
Ce1 0.250 0.750 0.000
Nd1 0.250 0.250 0.336
Sb1 0.250 0.250 0.698
N1 0.250 0.250 0.081
# Formation energy without anion corrections (eV/atom): -1.284

[3]
# AcGaSiPt3 (PBE, relaxed)
data_AcGaSiPt3
_chemical_formula_sum 'Ac4 Ga4 Si4 Pt12'
_space_group_name_H-M_alt 'C m c m'
_space_group_IT_number 63
_space_group_name_Hall '-C 2c 2'
_cell_length_a 5.782
_cell_length_b 14.966
_cell_length_c 6.155
_cell_angle_alpha 90.00
_cell_angle_beta 90.00
_cell_angle_gamma 90.00
loop_
_atom_site_label
_atom_site_fract_x
_atom_site_fract_y
_atom_site_fract_z
Ac1 0.000 0.201 0.250
Ga1 0.000 0.095 0.750
Si1 0.000 0.421 0.750
Pt1 0.000 0.262 0.750
Pt2 0.248 0.500 0.000
# Formation energy without anion corrections (eV/atom): -0.881

[4]
# Ca3MnTc (PBE, relaxed)
data_Ca3MnTc
_chemical_formula_sum 'Ca3 Mn1 Tc1'
_space_group_name_H-M_alt 'P m -3 m'
_space_group_IT_number 221
_space_group_name_Hall '-P 4 2 3'
_cell_length_a 5.406
_cell_length_b 5.406
_cell_length_c 5.406
_cell_angle_alpha 90.00
_cell_angle_beta 90.00
_cell_angle_gamma 90.00
loop_
_atom_site_label
_atom_site_fract_x
_atom_site_fract_y
_atom_site_fract_z
Ca1 0.000 0.000 0.500
Mn1 0.000 0.000 0.000
Tc1 0.500 0.500 0.500
# Distance to the lowest polymorph of the same formula (meV per atom): 0
# DFT formation energy (eV/atom): 1.150

[5]
# Ba6AgPdRh2 (PBE, relaxed)
data_Ba6AgPdRh2
_chemical_formula_sum 'Ba18 Ag3 Pd3 Rh6'
_space_group_name_H-M_alt 'R 3'
_space_group_IT_number 146
_space_group_name_Hall 'R 3'
_cell_length_a 8.0082
_cell_length_b 8.0082
_cell_length_c 21.9935
_cell_angle_alpha 90.00
_cell_angle_beta 90.00
_cell_angle_gamma 120.00
loop_
_atom_site_label
_atom_site_fract_x
_atom_site_fract_y
_atom_site_fract_z
Ba1 0.0198 0.3338 0.0000
Ba2 0.0483 0.7075 0.4967
Ag1 0.0000 0.0000 0.2318
Pd1 0.0000 0.0000 0.7368
Rh1 0.0000 0.0000 0.4154
Rh2 0.0000 0.0000 0.9206
# DFT formation energy (eV/atom): -0.206

[6]
# CoRu2Au (PBE, relaxed)
data_CoRu2Au
_chemical_formula_sum 'Co2 Ru4 Au2'
_space_group_name_H-M_alt 'C 1 m 1'
_space_group_IT_number 8
_space_group_name_Hall 'C -2y'
_cell_length_a 8.925
_cell_length_b 2.740
_cell_length_c 4.758
_cell_angle_alpha 90.00
_cell_angle_beta 100.04
_cell_angle_gamma 90.00
loop_
_atom_site_label
_atom_site_fract_x
_atom_site_fract_y
_atom_site_fract_z
Co1 0.000 0.000 0.000
Ru1 0.011 0.500 0.551
Ru2 0.256 0.000 0.750
Au1 0.253 0.500 0.247
# Distance to the lowest polymorph of the same formula (meV per atom): 83
# DFT formation energy (eV/atom): 0.332

[7]
# Er4ZnSe2 (PBE, relaxed)
data_Er4ZnSe2
_chemical_formula_sum 'Er16 Zn4 Se8'
_space_group_name_H-M_alt 'C m c m'
_space_group_IT_number 63
_space_group_name_Hall '-C 2c 2'
_cell_length_a 3.985
_cell_length_b 12.931
_cell_length_c 13.752
_cell_angle_alpha 90.00
_cell_angle_beta 90.00
_cell_angle_gamma 90.00
loop_
_atom_site_label
_atom_site_fract_x
_atom_site_fract_y
_atom_site_fract_z
Er1 0.000 0.000 0.000
Er2 0.000 0.277 0.127
Er3 0.000 0.445 0.750
Zn1 0.000 0.110 0.750
Se1 0.000 0.361 0.561
# Formation energy without anion corrections (eV/atom): -1.051

[8]
# Re2SbSe (PBE, relaxed)
data_Re2SbSe
_chemical_formula_sum 'Re6 Sb3 Se3'
_space_group_name_H-M_alt 'R -3 m'
_space_group_IT_number 166
_space_group_name_Hall '-R 3 2"'
_cell_length_a 3.0953
_cell_length_b 3.0953
_cell_length_c 24.4695
_cell_angle_alpha 90.00
_cell_angle_beta 90.00
_cell_angle_gamma 120.00
loop_
_atom_site_label
_atom_site_fract_x
_atom_site_fract_y
_atom_site_fract_z
Re1 0.0000 0.0000 0.2462
Sb1 0.0000 0.0000 0.0000
Se1 0.0000 0.0000 0.5000
# Distance to the lowest polymorph of the same formula (meV per atom): 442
# Formation energy without anion corrections (eV/atom): 0.626

Mass density (computed, Mg/m³): 7.7; 7.1; 11.3; 2.9; 5.1; 13.3; 8.4; 14.1
N(E_F) (computed, states/eV/f.u.): 8.53; 4.80; 1.98; 4.91; 7.10; 5.32; 4.71; 3.48